Material: LiLaCd
Method: DFT, PBE-GGA
State: relaxed

The structure in CIF format:
```
data_LiLaCd
_cell_length_a 5.1349
_cell_length_b 5.1349
_cell_length_c 3.4081
_cell_angle_alpha 90.00
_cell_angle_beta 90.00
_cell_angle_gamma 120.00
_space_group_name_H-M_alt 'P -6 m 2'
_space_group_IT_number 187
_space_group_name_Hall 'P -6 2'
loop_
_atom_site_label
_atom_site_type_symbol
_atom_site_fract_x
_atom_site_fract_y
_atom_site_fract_z
_atom_site_occupancy
Li1 Li 0.0000 0.0000 0.0000 1
La1 La 0.3333 0.6667 0.5000 1
Cd1 Cd 0.6667 0.3333 0.0000 1
```

Values from the calculation:
- Energy above the lowest structure with this stoichiometry: 0.000 eV per atom